Record 1
Density functional theory data (PBE-GGA) for a relaxed Ti2Cu3Pd2 crystal.

Computed properties:
**Symmetry**: No. 12
**Energy relative to the elements**: -219 kJ/mol of formula units
**DFT total energy**: -40.7 eV per cell

Unit cell a=4.7255 b=4.7255 c=6.4046 alpha=96.07 beta=96.07 gamma=44.29
With the nearest neighbours (Å) after each atom.
Atoms (fractional coordinates):
1 Ti 0.0820 0.0820 0.2189  5 Pd 2.68-2.73, 6 Cu 2.69-2.82
2 Ti 0.9180 0.9180 0.7811  5 Pd 2.68-2.73, 6 Cu 2.69-2.82
3 Cu 0.2055 0.2055 0.6231  5 Cu 2.56-2.78, 2 Pd 2.69, 4 Ti 2.69-2.82
4 Cu 0.5000 0.5000 0.5000  6 Cu 2.59-2.78, 4 Ti 2.69, 2 Pd 2.77
5 Cu 0.7945 0.7945 0.3769  5 Cu 2.56-2.78, 2 Pd 2.69, 4 Ti 2.69-2.82
6 Pd 0.3635 0.3635 0.0875  5 Ti 2.68-2.73, 3 Cu 2.69-2.77, 3 Pd 2.75-2.81
7 Pd 0.6365 0.6365 0.9125  5 Ti 2.68-2.73, 3 Cu 2.69-2.77, 3 Pd 2.75-2.81

Record 2
Density functional theory data (PBE-GGA) for a relaxed TiCuPd3 crystal.

Computed properties:
**Symmetry**: No. 221
**Energy relative to the elements**: 299 kJ/mol of formula units
**DFT total energy**: -24.5 eV per cell
**ΔE to the lowest computed polymorph**: 1.096 eV/atom

Unit cell a=4.5346 b=4.5346 c=4.5346 alpha=90.00 beta=90.00 gamma=90.00
With the nearest neighbours (Å) after each atom.
Atoms (fractional coordinates):
1 Ti 0.0000 0.0000 0.0000  12 Pd 3.21
2 Cu 0.5000 0.5000 0.5000  6 Pd 2.27
3 Pd 0.0000 0.5000 0.5000  2 Cu 2.27
4 Pd 0.5000 0.0000 0.5000  2 Cu 2.27
5 Pd 0.5000 0.5000 0.0000  2 Cu 2.27

Record 3
Density functional theory data (PBE-GGA) for a relaxed TiCu2Pd5 crystal.

Computed properties:
**Symmetry**: No. 140
**Energy relative to the elements**: -202 kJ/mol of formula units
**DFT total energy**: -88.3 eV per cell
**ΔE to the lowest computed polymorph**: 0.082 eV/atom

Unit cell a=7.2485 b=7.2485 c=7.2485 alpha=126.53 beta=126.53 gamma=79.02
With the nearest neighbours (Å) after each atom.
Atoms (fractional coordinates):
1 Ti 0.2500 0.2500 0.0000  10 Pd 2.67-2.80
2 Ti 0.7500 0.7500 0.0000  10 Pd 2.67-2.80
3 Cu 0.1370 0.6370 0.7739  1 Cu 2.53, 8 Pd 2.53-2.61
4 Cu 0.3630 0.1370 0.5000  1 Cu 2.53, 8 Pd 2.53-2.61
5 Cu 0.6370 0.8630 0.5000  1 Cu 2.53, 8 Pd 2.53-2.61
6 Cu 0.8630 0.3630 0.2261  1 Cu 2.53, 8 Pd 2.53-2.61
7 Pd 0.0000 0.0000 0.0000  4 Cu 2.53, 2 Ti 2.80
8 Pd 0.0038 0.8128 0.5000  3 Cu 2.60-2.61, 2 Ti 2.67, 4 Pd 2.70-2.88
9 Pd 0.1872 0.6872 0.1910  3 Cu 2.60-2.61, 2 Ti 2.67, 4 Pd 2.70-2.88
10 Pd 0.3128 0.5038 0.5000  3 Cu 2.60-2.61, 2 Ti 2.67, 4 Pd 2.70-2.88
11 Pd 0.4962 0.9962 0.8091  3 Cu 2.60-2.61, 2 Ti 2.67, 4 Pd 2.70-2.88
12 Pd 0.5000 0.5000 0.0000  4 Cu 2.53, 2 Ti 2.80
13 Pd 0.5038 0.0038 0.1910  3 Cu 2.60-2.61, 2 Ti 2.67, 4 Pd 2.70-2.88
14 Pd 0.6872 0.4962 0.5000  3 Cu 2.60-2.61, 2 Ti 2.67, 4 Pd 2.70-2.88
15 Pd 0.8128 0.3128 0.8091  3 Cu 2.60-2.61, 2 Ti 2.67, 4 Pd 2.70-2.88
16 Pd 0.9962 0.1872 0.5000  3 Cu 2.60-2.61, 2 Ti 2.67, 4 Pd 2.70-2.88

Record 4
Density functional theory data (PBE-GGA) for a relaxed TiCu2Pd crystal.

Computed properties:
**Symmetry**: No. 225
**Energy relative to the elements**: -79 kJ/mol of formula units
**DFT total energy**: -22.1 eV per cell

Unit cell a=4.2824 b=4.2824 c=4.2824 alpha=60.00 beta=60.00 gamma=60.00
With the nearest neighbours (Å) after each atom.
Atoms (fractional coordinates):
1 Ti 0.0000 0.0000 0.0000  8 Cu 2.62
2 Cu 0.2500 0.2500 0.2500  4 Pd 2.62, 4 Ti 2.62
3 Cu 0.7500 0.7500 0.7500  4 Pd 2.62, 4 Ti 2.62
4 Pd 0.5000 0.5000 0.5000  8 Cu 2.62

Record 5
Density functional theory data (PBE-GGA) for a relaxed TiCu6Pd12 crystal.

Computed properties:
**Symmetry**: No. 148
**Energy relative to the elements**: -367 kJ/mol of formula units
**DFT total energy**: -98.6 eV per cell
**ΔE to the lowest computed polymorph**: 0.000 eV/atom

Unit cell a=7.2155 b=7.2155 c=7.2155 alpha=110.78 beta=110.78 gamma=110.78
With the nearest neighbours (Å) after each atom.
Atoms (fractional coordinates):
1 Ti 0.0000 0.0000 0.0000  12 Pd 2.75
2 Cu 0.0480 0.5747 0.3638  9 Pd 2.69-2.76, 3 Cu 2.73-2.74
3 Cu 0.3638 0.0480 0.5747  9 Pd 2.69-2.76, 3 Cu 2.73-2.74
4 Cu 0.4253 0.6362 0.9520  9 Pd 2.69-2.76, 3 Cu 2.73-2.74
5 Cu 0.5747 0.3638 0.0480  9 Pd 2.69-2.76, 3 Cu 2.73-2.74
6 Cu 0.6362 0.9520 0.4253  9 Pd 2.69-2.76, 3 Cu 2.73-2.74
7 Cu 0.9520 0.4253 0.6362  9 Pd 2.69-2.76, 3 Cu 2.73-2.74
8 Pd 0.1090 0.1639 0.7387  5 Cu 2.70-2.73, 6 Pd 2.70-2.79, 1 Ti 2.75
9 Pd 0.1639 0.7387 0.1090  5 Cu 2.70-2.73, 6 Pd 2.70-2.79, 1 Ti 2.75
10 Pd 0.2066 0.3181 0.4731  4 Cu 2.69-2.76, 7 Pd 2.70-2.79, 1 Ti 2.75
11 Pd 0.2613 0.8910 0.8361  5 Cu 2.70-2.73, 6 Pd 2.70-2.79, 1 Ti 2.75
12 Pd 0.3181 0.4731 0.2066  4 Cu 2.69-2.76, 7 Pd 2.70-2.79, 1 Ti 2.75
13 Pd 0.4731 0.2066 0.3181  4 Cu 2.69-2.76, 7 Pd 2.70-2.79, 1 Ti 2.75
14 Pd 0.5269 0.7934 0.6819  4 Cu 2.69-2.76, 7 Pd 2.70-2.79, 1 Ti 2.75
15 Pd 0.6819 0.5269 0.7934  4 Cu 2.69-2.76, 7 Pd 2.70-2.79, 1 Ti 2.75
16 Pd 0.7387 0.1090 0.1639  5 Cu 2.70-2.73, 6 Pd 2.70-2.79, 1 Ti 2.75
17 Pd 0.7934 0.6819 0.5269  4 Cu 2.69-2.76, 7 Pd 2.70-2.79, 1 Ti 2.75
18 Pd 0.8361 0.2613 0.8910  5 Cu 2.70-2.73, 6 Pd 2.70-2.79, 1 Ti 2.75
19 Pd 0.8910 0.8361 0.2613  5 Cu 2.70-2.73, 6 Pd 2.70-2.79, 1 Ti 2.75

Record 6
Density functional theory data (PBE-GGA) for a relaxed Ti2Cu2Pd3 crystal.

Computed properties:
**Symmetry**: No. 12
**Energy relative to the elements**: -197 kJ/mol of formula units
**DFT total energy**: -41.6 eV per cell
**ΔE to the lowest computed polymorph**: 0.143 eV/atom

Unit cell a=6.5325 b=6.5325 c=6.5188 alpha=114.50 beta=114.50 gamma=24.37
With the nearest neighbours (Å) after each atom.
Atoms (fractional coordinates):
1 Ti 0.1297 0.1297 0.3230  5 Pd 2.61-2.76, 4 Cu 2.72-2.81, 2 Ti 2.76
2 Ti 0.8703 0.8703 0.6770  5 Pd 2.61-2.76, 4 Cu 2.72-2.81, 2 Ti 2.76
3 Cu 0.4237 0.4237 0.0677  1 Cu 2.46, 4 Pd 2.56-2.75, 2 Ti 2.72
4 Cu 0.5763 0.5763 0.9323  1 Cu 2.46, 4 Pd 2.56-2.75, 2 Ti 2.72
5 Pd 0.2092 0.2092 0.7639  3 Ti 2.61-2.73, 3 Cu 2.61-2.75, 4 Pd 2.76-2.85
6 Pd 0.5000 0.5000 0.5000  2 Cu 2.56, 4 Ti 2.76, 6 Pd 2.76-2.85
7 Pd 0.7908 0.7908 0.2361  3 Ti 2.61-2.73, 3 Cu 2.61-2.75, 4 Pd 2.76-2.85

Record 7
Density functional theory data (PBE-GGA) for a relaxed Ti3CuPd4 crystal.

Computed properties:
**Symmetry**: No. 31
**Energy relative to the elements**: -357 kJ/mol of formula units
**DFT total energy**: -104.5 eV per cell
**ΔE to the lowest computed polymorph**: 0.034 eV/atom

Unit cell a=9.1440 b=5.4394 c=4.9036 alpha=90.00 beta=90.00 gamma=90.00
With the nearest neighbours (Å) after each atom.
Atoms (fractional coordinates):
1 Ti 0.0000 0.0863 0.0000  8 Pd 2.67-2.88, 2 Cu 2.70-2.82
2 Ti 0.2342 0.6387 0.2768  8 Pd 2.62-2.91, 1 Cu 2.65, 2 Ti 2.89
3 Ti 0.2658 0.3613 0.7768  8 Pd 2.62-2.91, 1 Cu 2.65, 2 Ti 2.89
4 Ti 0.5000 0.9137 0.5000  8 Pd 2.67-2.88, 2 Cu 2.70-2.82
5 Ti 0.7342 0.3613 0.7768  8 Pd 2.62-2.91, 1 Cu 2.65, 2 Ti 2.89
6 Ti 0.7658 0.6387 0.2768  8 Pd 2.62-2.91, 1 Cu 2.65, 2 Ti 2.89
7 Cu 0.0000 0.8532 0.4871  4 Ti 2.65-2.82, 8 Pd 2.66-2.96
8 Cu 0.5000 0.1468 0.9871  4 Ti 2.65-2.82, 8 Pd 2.66-2.96
9 Pd 0.0000 0.3441 0.4863  2 Cu 2.67-2.77, 4 Pd 2.75-2.86, 6 Ti 2.77-2.88
10 Pd 0.0000 0.5958 0.9737  6 Ti 2.62-2.91, 4 Pd 2.75-2.86, 2 Cu 2.77-2.88
11 Pd 0.2466 0.8661 0.7754  2 Cu 2.66-2.96, 6 Ti 2.69-2.78, 4 Pd 2.78-2.86
12 Pd 0.2534 0.1339 0.2754  2 Cu 2.66-2.96, 6 Ti 2.69-2.78, 4 Pd 2.78-2.86
13 Pd 0.5000 0.4042 0.4737  6 Ti 2.62-2.91, 4 Pd 2.75-2.86, 2 Cu 2.77-2.88
14 Pd 0.5000 0.6559 0.9863  2 Cu 2.67-2.77, 4 Pd 2.75-2.86, 6 Ti 2.77-2.88
15 Pd 0.7466 0.1339 0.2754  2 Cu 2.66-2.96, 6 Ti 2.69-2.78, 4 Pd 2.78-2.86
16 Pd 0.7534 0.8661 0.7754  2 Cu 2.66-2.96, 6 Ti 2.69-2.78, 4 Pd 2.78-2.86

Record 8
Density functional theory data (PBE-GGA) for a relaxed Ti2Cu2Pd3 crystal.

Computed properties:
**Symmetry**: No. 12
**Energy relative to the elements**: -294 kJ/mol of formula units
**DFT total energy**: -42.6 eV per cell
**ΔE to the lowest computed polymorph**: 0.000 eV/atom

Unit cell a=4.7963 b=4.7963 c=6.1291 alpha=94.67 beta=94.67 gamma=46.43
With the nearest neighbours (Å) after each atom.
Atoms (fractional coordinates):
1 Ti 0.0796 0.0796 0.2263  6 Pd 2.66-2.82, 5 Cu 2.68-2.79
2 Ti 0.9204 0.9204 0.7737  6 Pd 2.66-2.82, 5 Cu 2.68-2.79
3 Cu 0.3643 0.3643 0.0666  3 Cu 2.60-2.83, 4 Pd 2.64-2.81, 5 Ti 2.68-2.79
4 Cu 0.6357 0.6357 0.9334  3 Cu 2.60-2.83, 4 Pd 2.64-2.81, 5 Ti 2.68-2.79
5 Pd 0.2120 0.2120 0.6618  3 Cu 2.64-2.71, 4 Ti 2.68-2.82, 5 Pd 2.78-2.86
6 Pd 0.5000 0.5000 0.5000  4 Ti 2.66, 6 Pd 2.78-2.81, 2 Cu 2.81
7 Pd 0.7880 0.7880 0.3382  3 Cu 2.64-2.71, 4 Ti 2.68-2.82, 5 Pd 2.78-2.86

Record 9
Density functional theory data (PBE-GGA) for a relaxed Ti2Cu4Pd crystal.

Computed properties:
**Symmetry**: No. 139
**Energy relative to the elements**: 496 kJ/mol of formula units
**DFT total energy**: -32.2 eV per cell
**ΔE to the lowest computed polymorph**: 0.746 eV/atom

Unit cell a=6.9866 b=6.9866 c=6.9866 alpha=141.14 beta=141.14 gamma=56.13
With the nearest neighbours (Å) after each atom.
Atoms (fractional coordinates):
1 Ti 0.1002 0.1002 0.0000  1 Ti 2.47, 5 Cu 2.47-2.63
2 Ti 0.8998 0.8998 0.0000  1 Ti 2.47, 5 Cu 2.47-2.63
3 Cu 0.0000 0.5000 0.5000  2 Pd 2.32
4 Cu 0.3009 0.3009 0.0000  1 Pd 2.46, 1 Ti 2.47
5 Cu 0.5000 0.0000 0.5000  2 Pd 2.32
6 Cu 0.6991 0.6991 0.0000  1 Pd 2.46, 1 Ti 2.47
7 Pd 0.5000 0.5000 0.0000  6 Cu 2.32-2.46

Record 10
Density functional theory data (PBE-GGA) for a relaxed TiCu5Pd2 crystal.

Computed properties:
**Symmetry**: No. 55
**Energy relative to the elements**: -159 kJ/mol of formula units
**DFT total energy**: -80.8 eV per cell

Unit cell a=5.3289 b=10.6622 c=3.7530 alpha=90.00 beta=90.00 gamma=90.00
With the nearest neighbours (Å) after each atom.
Atoms (fractional coordinates):
1 Ti 0.0000 0.0000 0.0000  4 Pd 2.62, 8 Cu 2.66-2.71
2 Ti 0.5000 0.5000 0.0000  4 Pd 2.62, 8 Cu 2.66-2.71
3 Cu 0.0000 0.5000 0.0000  6 Cu 2.66, 4 Pd 2.66, 2 Ti 2.66
4 Cu 0.0020 0.2503 0.0000  7 Cu 2.61-2.66, 4 Pd 2.67-2.69, 1 Ti 2.67
5 Cu 0.2396 0.6295 0.5000  6 Cu 2.61-2.66, 4 Pd 2.65-2.69, 2 Ti 2.71
6 Cu 0.2604 0.1295 0.5000  6 Cu 2.61-2.66, 4 Pd 2.65-2.69, 2 Ti 2.71
7 Cu 0.4980 0.7503 0.0000  7 Cu 2.61-2.66, 4 Pd 2.67-2.69, 1 Ti 2.67
8 Cu 0.5000 0.0000 0.0000  6 Cu 2.66, 4 Pd 2.66, 2 Ti 2.66
9 Cu 0.5020 0.2497 0.0000  7 Cu 2.61-2.66, 4 Pd 2.67-2.69, 1 Ti 2.67
10 Cu 0.7396 0.8705 0.5000  6 Cu 2.61-2.66, 4 Pd 2.65-2.69, 2 Ti 2.71
11 Cu 0.7604 0.3705 0.5000  6 Cu 2.61-2.66, 4 Pd 2.65-2.69, 2 Ti 2.71
12 Cu 0.9980 0.7497 0.0000  7 Cu 2.61-2.66, 4 Pd 2.67-2.69, 1 Ti 2.67
13 Pd 0.2435 0.8783 0.5000  2 Ti 2.62, 10 Cu 2.65-2.69
14 Pd 0.2565 0.3783 0.5000  2 Ti 2.62, 10 Cu 2.65-2.69
15 Pd 0.7435 0.6217 0.5000  2 Ti 2.62, 10 Cu 2.65-2.69
16 Pd 0.7565 0.1217 0.5000  2 Ti 2.62, 10 Cu 2.65-2.69

Record 11
Density functional theory data (PBE-GGA) for a relaxed TiCuPd3 crystal.

Computed properties:
**Symmetry**: No. 63
**Energy relative to the elements**: -230 kJ/mol of formula units
**DFT total energy**: -59.9 eV per cell
**ΔE to the lowest computed polymorph**: 0.000 eV/atom

Unit cell a=9.5746 b=9.5746 c=3.9324 alpha=90.00 beta=90.00 gamma=155.94
With the nearest neighbours (Å) after each atom.
Atoms (fractional coordinates):
1 Ti 0.1501 0.8499 0.7500  8 Pd 2.62-2.73, 4 Cu 2.80
2 Ti 0.8499 0.1501 0.2500  8 Pd 2.62-2.73, 4 Cu 2.80
3 Cu 0.3496 0.6504 0.7500  8 Pd 2.65-2.73, 4 Ti 2.80
4 Cu 0.6504 0.3496 0.2500  8 Pd 2.65-2.73, 4 Ti 2.80
5 Pd 0.0576 0.9424 0.2500  2 Ti 2.62, 2 Cu 2.65, 8 Pd 2.80-2.92
6 Pd 0.2502 0.7498 0.2500  4 Cu 2.71-2.73, 4 Ti 2.72-2.73, 4 Pd 2.80
7 Pd 0.4450 0.5550 0.2500  2 Cu 2.66, 2 Ti 2.68, 8 Pd 2.80-2.90
8 Pd 0.5550 0.4450 0.7500  2 Cu 2.66, 2 Ti 2.68, 8 Pd 2.80-2.90
9 Pd 0.7498 0.2502 0.7500  4 Cu 2.71-2.73, 4 Ti 2.72-2.73, 4 Pd 2.80
10 Pd 0.9424 0.0576 0.7500  2 Ti 2.62, 2 Cu 2.65, 8 Pd 2.80-2.92

Record 12
Density functional theory data (PBE-GGA) for a relaxed Ti6CuPd5 crystal.

Computed properties:
**Symmetry**: No. 12
**Energy relative to the elements**: -328 kJ/mol of formula units
**DFT total energy**: -80.8 eV per cell
**ΔE to the lowest computed polymorph**: 0.165 eV/atom

Unit cell a=4.9507 b=4.9507 c=8.9292 alpha=94.79 beta=94.79 gamma=118.74
With the nearest neighbours (Å) after each atom.
Atoms (fractional coordinates):
1 Ti 0.0832 0.4099 0.7489  5 Pd 2.74-2.80, 1 Cu 2.74, 6 Ti 2.78-2.92
2 Ti 0.2441 0.2441 0.2520  1 Cu 2.70, 5 Pd 2.77-2.78, 6 Ti 2.84-2.92
3 Ti 0.4099 0.0832 0.7489  5 Pd 2.74-2.80, 1 Cu 2.74, 6 Ti 2.78-2.92
4 Ti 0.5901 0.9168 0.2511  5 Pd 2.74-2.80, 1 Cu 2.74, 6 Ti 2.78-2.92
5 Ti 0.7559 0.7559 0.7480  1 Cu 2.70, 5 Pd 2.77-2.78, 6 Ti 2.84-2.92
6 Ti 0.9168 0.5901 0.2511  5 Pd 2.74-2.80, 1 Cu 2.74, 6 Ti 2.78-2.92
7 Cu 0.0000 0.0000 0.5000  6 Ti 2.70-2.74, 6 Pd 2.82-2.90
8 Pd 0.1664 0.8336 0.0000  6 Ti 2.74-2.80, 6 Pd 2.84-2.90
9 Pd 0.3311 0.6689 0.5000  6 Ti 2.74-2.78, 3 Cu 2.82-2.90, 3 Pd 2.88
10 Pd 0.5000 0.5000 0.0000  6 Ti 2.77, 6 Pd 2.84-2.89
11 Pd 0.6689 0.3311 0.5000  6 Ti 2.74-2.78, 3 Cu 2.82-2.90, 3 Pd 2.88
12 Pd 0.8336 0.1664 0.0000  6 Ti 2.74-2.80, 6 Pd 2.84-2.90